# 1
La2TbPm6 after structural relaxation. Source: Alexandria via LeMat-Bulk, functional PBE.

The structure in extended XYZ format:
```
18
Lattice="6.3943 -7.4884 0.0000 6.3943 7.4884 0.0000 -1.8084 0.0000 6.5364" Properties=species:S:1:pos:R:3 pbc="T T T"
La 1.1566 0.3462 2.4072
La 0.2524 -0.3462 5.6754
La 10.7278 0.3462 0.8610
La 9.8236 -0.3462 4.1292
Tb 5.0380 1.6394 4.9023
Tb 5.9422 -1.6394 1.6341
Pm 1.7109 2.8789 4.6018
Pm 4.0094 4.6485 6.4131
Pm 6.0665 4.6485 3.3915
Pm 4.3193 1.4874 1.1868
Pm 2.6151 -2.8789 1.3336
Pm 3.4152 -1.4874 4.4549
Pm 7.5650 1.4874 2.0814
Pm 8.3651 2.8789 5.2028
Pm 6.6608 -1.4874 5.3496
Pm 4.9136 -4.6485 3.1449
Pm 6.9707 -4.6485 0.1233
Pm 9.2693 -2.8789 1.9346
```

Computed properties:
E, eV for the cell shown: -83.99
Fermi-level density of states, states/eV/atom: 1.49
SG: C2/c, No. 15
M_tot, Bohr magnetons per cell: 0.0
Energy of formation, kJ/mol of formula units: 96



# 2
LaTb8Pm3 after structural relaxation. Source: Alexandria via LeMat-Bulk, functional PBE.

The structure in extended XYZ format:
```
12
Lattice="-3.2214 5.7595 5.7644 3.2214 -5.7595 5.7644 3.2214 5.7595 -5.7644" Properties=species:S:1:pos:R:3 pbc="T T T"
La 0.0000 0.0000 0.0000
Tb 3.2214 3.7730 -2.8776
Tb 1.5972 2.9232 0.0000
Tb 1.6243 -2.8362 5.7644
Tb 0.0000 1.9865 2.8868
Tb 3.2214 3.7730 2.8776
Tb 1.5972 8.5957 0.0000
Tb 1.6243 2.8362 5.7644
Tb 0.0000 1.9865 8.6419
Pm 3.2214 0.0000 2.9231
Pm 0.0000 0.0000 5.7644
Pm 0.0000 5.7595 2.8412
```

Computed properties:
E, eV for the cell shown: -52.64
Fermi-level density of states, states/eV/atom: 1.34
SG: Immm, No. 71
M_tot, Bohr magnetons per cell: 0.0
Energy of formation, kJ/mol of formula units: 345



# 3
La7Tb16Pm6 after structural relaxation. Source: Alexandria via LeMat-Bulk, functional PBE.

The structure in extended XYZ format:
```
29
Lattice="0.0000 8.0583 8.0583 8.0583 0.0000 8.0583 8.0583 8.0583 0.0000" Properties=species:S:1:pos:R:3 pbc="T T T"
La 0.0000 0.0000 0.0000
La 4.0291 4.0291 0.0000
La 4.0291 0.0000 4.0291
La 8.0583 4.0291 4.0291
La 0.0000 4.0291 4.0291
La 4.0291 8.0583 4.0291
La 4.0291 4.0291 8.0583
Tb 10.5039 5.6126 5.6126
Tb 2.1105 2.1105 2.1105
Tb 5.9478 5.9478 2.1105
Tb 5.9478 2.1105 5.9478
Tb 5.6126 5.6126 5.6126
Tb 10.5039 10.5039 5.6126
Tb 10.5039 5.6126 10.5039
Tb 14.0061 10.1688 10.1688
Tb 2.1105 5.9478 5.9478
Tb 5.6126 10.5039 5.6126
Tb 5.6126 5.6126 10.5039
Tb 10.5039 10.5039 10.5039
Tb 10.1688 14.0061 10.1688
Tb 10.1688 10.1688 14.0061
Tb 14.0061 14.0061 14.0061
Tb 5.6126 10.5039 10.5039
Pm 8.0583 8.0583 4.0703
Pm 8.0583 4.0703 8.0583
Pm 12.0462 8.0583 8.0583
Pm 4.0703 8.0583 8.0583
Pm 8.0583 12.0462 8.0583
Pm 8.0583 8.0583 12.0462
```

Computed properties:
E, eV for the cell shown: -129.97
Fermi-level density of states, states/eV/atom: 1.64
SG: Fm-3m, No. 225
M_tot, Bohr magnetons per cell: 0.0
Energy of formation, kJ/mol of formula units: 686



# 4
La2Tb5Pm4 after structural relaxation. Source: Alexandria via LeMat-Bulk, functional PBE.

The structure in extended XYZ format:
```
11
Lattice="8.9210 -1.7835 0.0000 8.9210 1.7835 0.0000 -0.9547 0.0000 11.7966" Properties=species:S:1:pos:R:3 pbc="T T T"
La 3.5078 0.0000 4.1464
La 13.3794 0.0000 7.6502
Tb 0.0000 0.0000 0.0000
Tb 4.8775 0.0000 11.0110
Tb 6.8024 0.0000 5.4232
Tb 10.0848 0.0000 6.3734
Tb 12.0097 0.0000 0.7856
Pm 1.7412 0.0000 9.4316
Pm 7.6124 0.0000 8.7683
Pm 9.2749 0.0000 3.0283
Pm 15.1460 0.0000 2.3650
```

Computed properties:
E, eV for the cell shown: -51.24
Fermi-level density of states, states/eV/atom: 1.48
SG: C2/m, No. 12
M_tot, Bohr magnetons per cell: 0.0
Energy of formation, kJ/mol of formula units: 74



# 5
La4TbPm4 after structural relaxation. Source: Alexandria via LeMat-Bulk, functional PBE.

The structure in extended XYZ format:
```
9
Lattice="-5.5072 5.5072 2.6161 5.5072 -5.5072 2.6161 5.5072 5.5072 -2.6161" Properties=species:S:1:pos:R:3 pbc="T T T"
La 1.8344 1.8344 0.0000
La 3.6728 -3.6728 2.6161
La -3.6728 3.6728 2.6161
La 3.6728 3.6728 2.6161
Tb 0.0000 0.0000 2.6161
Pm 5.5072 1.8283 0.0000
Pm 1.8283 5.5072 0.0000
Pm 3.6789 0.0000 2.6161
Pm 0.0000 3.6789 2.6161
```

Computed properties:
E, eV for the cell shown: -43.18
Fermi-level density of states, states/eV/atom: 1.70
SG: I4/mmm, No. 139
M_tot, Bohr magnetons per cell: 0.0
Energy of formation, kJ/mol of formula units: 16



# 6
LaTb4Pm5 after structural relaxation. Source: Alexandria via LeMat-Bulk, functional PBE.

The structure in extended XYZ format:
```
10
Lattice="9.1256 -1.8045 0.0000 9.1256 1.8045 0.0000 -1.1133 0.0000 10.5529" Properties=species:S:1:pos:R:3 pbc="T T T"
La 0.0000 0.0000 0.0000
Tb 2.3471 0.0000 9.5882
Tb 8.0039 0.0000 2.5543
Tb 9.1340 0.0000 7.9987
Tb 14.7908 0.0000 0.9648
Pm -0.5566 0.0000 5.2765
Pm 5.2006 0.0000 4.2588
Pm 5.6881 0.0000 8.0487
Pm 11.4498 0.0000 2.5042
Pm 11.9372 0.0000 6.2942
```

Computed properties:
E, eV for the cell shown: -45.61
Fermi-level density of states, states/eV/atom: 1.63
SG: C2/m, No. 12
M_tot, Bohr magnetons per cell: 0.0
Energy of formation, kJ/mol of formula units: 153



# 7
La3Tb2Pm2 after structural relaxation. Source: Alexandria via LeMat-Bulk, functional PBE.

The structure in extended XYZ format:
```
7
Lattice="3.6137 0.0000 0.0000 -0.0024 5.7151 0.0000 -1.8003 -2.8503 11.8049" Properties=species:S:1:pos:R:3 pbc="T T T"
La 0.0000 0.0000 0.0000
La 0.0015 2.8605 5.2279
La 1.8094 0.0042 6.5770
Tb -0.0007 0.0029 3.3920
Tb 1.8116 2.8619 8.4129
Pm 0.0050 0.0055 9.9578
Pm 1.8058 2.8593 1.8471
```

Computed properties:
E, eV for the cell shown: -33.24
Fermi-level density of states, states/eV/atom: 1.42
SG: P-1, No. 2
M_tot, Bohr magnetons per cell: 0.0
Energy of formation, kJ/mol of formula units: 29



# 8
La3TbPm4Te8 after structural relaxation. Source: Alexandria via LeMat-Bulk, functional PBE.

The structure in extended XYZ format:
```
16
Lattice="7.7700 -4.5129 0.0000 7.7700 4.5129 0.0000 -5.1483 0.0000 7.3508" Properties=species:S:1:pos:R:3 pbc="T T T"
La 0.0000 0.0000 0.0000
La 1.3108 2.2564 3.6754
La 1.3108 -2.2564 3.6754
Tb 7.7700 0.0000 0.0000
Pm -2.5742 0.0000 3.6754
Pm 3.8850 2.2564 0.0000
Pm 3.8850 -2.2564 0.0000
Pm 5.1958 0.0000 3.6754
Te 2.6488 0.0000 1.8198
Te 0.0289 0.0000 5.5694
Te 6.4606 2.2086 1.8164
Te 3.9311 2.2086 5.5344
Te 6.4606 -2.2086 1.8164
Te 3.9311 -2.2086 5.5344
Te 10.3628 0.0000 1.7815
Te 7.7429 0.0000 5.5310
```

Computed properties:
E, eV for the cell shown: -86.93
Formation energy from raw total energies, eV/f.u.: -23.38
Fermi-level density of states, states/eV/atom: 0.79
SG: C2/m, No. 12
M_tot, Bohr magnetons per cell: 0.0



# 9
La2TbPmTe5 after structural relaxation. Source: Alexandria via LeMat-Bulk, functional PBE.

The structure in extended XYZ format:
```
9
Lattice="5.5336 0.0000 0.0000 0.0000 5.5336 0.0000 0.0000 0.0000 11.7606" Properties=species:S:1:pos:R:3 pbc="T T T"
La 0.0000 0.0000 1.9901
La 0.0000 0.0000 9.7705
Tb 2.7668 2.7668 0.0000
Pm 2.7668 2.7668 5.8803
Te 0.0000 0.0000 5.8803
Te 0.0000 2.7668 0.0000
Te 2.7668 0.0000 0.0000
Te 2.7668 2.7668 2.9624
Te 2.7668 2.7668 8.7981
```

Computed properties:
E, eV for the cell shown: -43.65
Formation energy from raw total energies, eV/f.u.: -8.71
Fermi-level density of states, states/eV/atom: 0.53
SG: P4/mmm, No. 123
M_tot, Bohr magnetons per cell: 1.2



# 10
La3Tb3PmTe8 after structural relaxation. Source: Alexandria via LeMat-Bulk, functional PBE.

The structure in extended XYZ format:
```
15
Lattice="4.4425 2.5649 7.3427 -4.4425 2.5649 7.3427 0.0000 -5.1298 7.3427" Properties=species:S:1:pos:R:3 pbc="T T T"
La -2.2213 -1.2824 7.3427
La -2.2213 1.2824 14.6855
La 0.0000 2.5649 7.3427
Tb -4.4425 0.0000 11.0141
Tb -2.2213 1.2824 3.6714
Tb 2.2213 1.2824 3.6714
Pm 0.0000 0.0000 11.0141
Te -2.3081 -1.3326 12.8128
Te 0.0000 0.0000 5.4009
Te 0.0000 -2.6652 9.2155
Te -2.3081 1.3326 9.2155
Te 2.3081 -1.3326 12.8128
Te 0.0000 2.6652 12.8128
Te 0.0000 0.0000 16.6274
Te 2.3081 1.3326 9.2155
```

Computed properties:
E, eV for the cell shown: -80.95
Formation energy from raw total energies, eV/f.u.: -22.39
Fermi-level density of states, states/eV/atom: 0.53
SG: R-3m, No. 166
M_tot, Bohr magnetons per cell: 0.0



# 11
LaTbPmTe3 after structural relaxation. Source: Alexandria via LeMat-Bulk, functional PBE.

The structure in extended XYZ format:
```
12
Lattice="8.6564 0.0000 0.0000 0.0000 4.4061 0.0000 -2.8508 0.0000 10.5264" Properties=species:S:1:pos:R:3 pbc="T T T"
La 1.0314 1.1015 2.3019
La 4.7741 3.3046 8.2246
Tb -0.4313 1.1015 6.5313
Tb 6.2369 3.3046 3.9952
Pm 0.3156 3.3046 9.5707
Pm 5.4899 1.1015 0.9557
Te -1.8272 1.1015 9.3545
Te 0.6288 3.3046 4.7533
Te 3.5914 3.3046 2.2041
Te 2.2141 1.1015 8.3223
Te 5.1767 1.1015 5.7731
Te 7.6328 3.3046 1.1719
```

Computed properties:
E, eV for the cell shown: -63.24
Formation energy from raw total energies, eV/f.u.: -7.89
Fermi-level density of states, states/eV/atom: 0.77
SG: P2_1/m, No. 11
M_tot, Bohr magnetons per cell: 0.0



# 12
LaTbPm2Te5 after structural relaxation. Source: Alexandria via LeMat-Bulk, functional PBE.

The structure in extended XYZ format:
```
9
Lattice="5.5661 0.0000 0.0000 0.0000 5.5661 0.0000 0.0000 0.0000 11.9251" Properties=species:S:1:pos:R:3 pbc="T T T"
La 0.0000 0.0000 0.0000
Tb 0.0000 0.0000 5.9625
Pm 2.7831 2.7831 4.1664
Pm 2.7831 2.7831 7.7587
Te 0.0000 0.0000 2.9885
Te 0.0000 0.0000 8.9366
Te 0.0000 2.7831 5.9625
Te 2.7831 0.0000 5.9625
Te 2.7831 2.7831 0.0000
```

Computed properties:
E, eV for the cell shown: -42.51
Formation energy from raw total energies, eV/f.u.: -7.74
Fermi-level density of states, states/eV/atom: 0.75
SG: P4/mmm, No. 123
M_tot, Bohr magnetons per cell: 0.5